Record 1
{"formula": "Nd7Bi2Pt2", "functional": "PBE", "state": "optimized geometry", "cell": [[4.4364, -5.7303, 0.0000], [4.4364, 5.7303, 0.0000], [0.0000, 0.0000, 7.1474]], "species": ["Nd", "Nd", "Nd", "Nd", "Nd", "Nd", "Nd", "Bi", "Bi", "Pt", "Pt"], "frac_coords": [[0.0000, 0.0000, 0.0000], [0.0000, 0.5000, 0.2530], [0.0000, 0.5000, 0.7470], [0.5000, 0.0000, 0.2530], [0.5000, 0.0000, 0.7470], [0.5000, 0.5000, 0.2341], [0.5000, 0.5000, 0.7659], [0.1904, 0.1904, 0.5000], [0.8096, 0.8096, 0.5000], [0.2756, 0.7244, 0.0000], [0.7244, 0.2756, 0.0000]], "e_tot_ev_per_atom": -5.44, "sg": "Cmmm", "rho_g_cm3": 8.31, "dos_ef_per_ev_cell": 10.2, "total_magnetization_mub_per_atom": 0.00, "e_form_ev_per_atom": -0.60}

***

Record 2
{"formula": "K2LiYF6", "functional": "PBE", "state": "optimized geometry", "cell": [[6.0354, 0.0000, 0.0000], [0.0000, 6.0343, 0.0000], [-6.0189, 0.0000, 8.5448]], "species": ["K", "K", "K", "K", "Li", "Li", "Y", "Y", "F", "F", "F", "F", "F", "F", "F", "F", "F", "F", "F", "F"], "frac_coords": [[0.2472, 0.0159, 0.2494], [0.2472, 0.4841, 0.7494], [0.7528, 0.5159, 0.2506], [0.7528, 0.9841, 0.7506], [0.0000, 0.0000, 0.5000], [0.0000, 0.5000, 0.0000], [0.5000, 0.0000, 0.0000], [0.5000, 0.5000, 0.5000], [0.1961, 0.2258, 0.9779], [0.1961, 0.2742, 0.4779], [0.2519, 0.7184, 0.9777], [0.2519, 0.7816, 0.4777], [0.2894, 0.0073, 0.7459], [0.2894, 0.4927, 0.2459], [0.7106, 0.5073, 0.7541], [0.7106, 0.9927, 0.2541], [0.7481, 0.2184, 0.5223], [0.7481, 0.2816, 0.0223], [0.8039, 0.7258, 0.5221], [0.8039, 0.7742, 0.0221]], "e_tot_ev_per_atom": -5.52, "sg": "P2_1/c", "e_above_lowest_polymorph_ev_per_atom": 0.0000, "rho_g_cm3": 3.07, "dos_ef_per_ev_cell": 0.0, "total_magnetization_mub_per_atom": 0.00}

***

Record 3
{"formula": "NdPuZn", "functional": "PBE", "state": "optimized geometry", "cell": [[-1.8050, 1.8050, 6.0859], [1.8050, -1.8050, 6.0859], [1.8050, 1.8050, -6.0859]], "species": ["Nd", "Pu", "Zn"], "frac_coords": [[0.0000, 0.0000, 0.0000], [0.2932, 0.2932, 0.0000], [0.6503, 0.6503, 0.0000]], "e_tot_ev_per_atom": -6.82, "sg": "I4mm", "e_above_lowest_polymorph_ev_per_atom": 0.0000, "rho_g_cm3": 9.50, "dos_ef_per_ev_cell": 7.6, "total_magnetization_mub_per_atom": 2.06, "e_form_ev_per_atom": -0.03}

***

Record 4
{"formula": "KMgCd", "functional": "PBE", "state": "optimized geometry", "cell": [[4.3683, -2.5272, 0.0000], [4.3683, 2.5272, 0.0000], [-2.9927, 0.0000, 9.8461]], "species": ["K", "K", "Mg", "Mg", "Cd", "Cd"], "frac_coords": [[0.2184, 0.2184, 0.1582], [0.7816, 0.7816, 0.8418], [0.3533, 0.3533, 0.5598], [0.6467, 0.6467, 0.4402], [0.0485, 0.0485, 0.6457], [0.9515, 0.9515, 0.3543]], "e_tot_ev_per_atom": -1.19, "sg": "C2/m", "e_above_lowest_polymorph_ev_per_atom": 0.0400, "rho_g_cm3": 2.69, "dos_ef_per_ev_cell": 3.4, "total_magnetization_mub_per_atom": 0.00, "e_form_ev_per_atom": 0.02}

***

- What is the formula in the first record?
  Nd7Bi2Pt2

***

What did the third record say?
{"formula": "NdPuZn", "functional": "PBE", "state": "optimized geometry", "cell": [[-1.8050, 1.8050, 6.0859], [1.8050, -1.8050, 6.0859], [1.8050, 1.8050, -6.0859]], "species": ["Nd", "Pu", "Zn"], "frac_coords": [[0.0000, 0.0000, 0.0000], [0.2932, 0.2932, 0.0000], [0.6503, 0.6503, 0.0000]], "e_tot_ev_per_atom": -6.82, "sg": "I4mm", "e_above_lowest_polymorph_ev_per_atom": 0.0000, "rho_g_cm3": 9.50, "dos_ef_per_ev_cell": 7.6, "total_magnetization_mub_per_atom": 2.06, "e_form_ev_per_atom": -0.03}